1.
# NpTlPb2

NpTlPb2 after structural relaxation (GGA-PBE, Alexandria via LeMat-Bulk).

Properties
Mass density = 12.79 Mg/m³
ΔH_f (0 K) = 129.0 meV/atom
Space-group type = P4/mmm, No. 123
Offset from the most stable computed form = 0 meV per atom

Cell: 4.749 4.838 4.838 Å, 90.00 90.00 90.00°
Last column: magnetic moment on the atom in μB.
Element x y z (fractional)
1 Tl 0.500 0.500 0.500  -0.01
2 Pb 0.000 0.000 0.500  -0.02
3 Np 0.500 0.000 0.000  4.06
4 Pb 0.000 0.500 0.000  -0.02

2.
# ErPaTa

ErPaTa after structural relaxation (GGA-PBE, Alexandria via LeMat-Bulk).

Properties
Mass density = 13.32 Mg/m³
ΔH_f (0 K) = 322.3 meV/atom
Space-group type = Cmcm, No. 63

Cell: 4.726 3.200 9.685 Å, 80.49 90.00 90.00°
Element x y z (fractional)
1 Er 0.750 0.554 0.891
2 Ta 0.250 0.280 0.439
3 Pa 0.250 0.137 0.726
4 Ta 0.750 0.720 0.561
5 Er 0.250 0.446 0.109
6 Pa 0.750 0.863 0.274

3.
# NaCaZn4

NaCaZn4 after structural relaxation (GGA-PBE, Alexandria via LeMat-Bulk).

Properties
Mass density = 4.58 Mg/m³
ΔH_f (0 K) = -142.6 meV/atom
Space-group type = F-43m, No. 216

Cell: 5.502 5.502 5.502 Å, 60.00 60.00 60.00°
Element x y z (fractional)
1 Zn 0.625 0.625 0.124
2 Zn 0.124 0.625 0.625
3 Zn 0.625 0.124 0.625
4 Zn 0.625 0.625 0.625
5 Ca 0.250 0.250 0.250
6 Na 0.000 0.000 0.000

4.
# LiSc2Zn

LiSc2Zn after structural relaxation (GGA-PBE, Alexandria via LeMat-Bulk).

Properties
Mass density = 3.24 Mg/m³
ΔH_f (0 K) = 207.3 meV/atom
Space-group type = I-42d, No. 122

Cell: 7.630 7.630 6.104 Å, 51.32 51.32 90.00°
Last column: magnetic moment on the atom in μB.
Element x y z (fractional)
1 Sc 0.636 0.125 0.250  0.06
2 Zn 0.000 0.000 0.000  0.00
3 Li 0.250 0.750 0.500  0.00
4 Sc 0.114 0.625 0.250  0.06
5 Zn 0.750 0.250 0.500  0.00
6 Sc 0.875 0.886 0.750  0.06
7 Sc 0.375 0.364 0.750  0.06
8 Li 0.500 0.500 0.000  0.00

5.
# CuIr2Br

CuIr2Br after structural relaxation (GGA-PBE, Alexandria via LeMat-Bulk).

Properties
Mass density = 14.01 Mg/m³
Space-group type = Pmmm, No. 47
Formation energy without anion corrections = 18.75 kcal/mol of atoms
Offset from the most stable computed form = 363 meV per atom

Cell: 2.803 4.867 4.585 Å, 90.00 90.00 90.00°
Element x y z (fractional)
1 Ir 0.000 0.000 0.000
2 Ir 0.500 0.500 0.000
3 Cu 0.000 0.500 0.500
4 Br 0.500 0.000 0.500

6.
# Tb2InI

Tb2InI after structural relaxation (GGA-PBE, Alexandria via LeMat-Bulk).

Properties
Mass density = 8.26 Mg/m³
Space-group type = P4/mmm, No. 123
Formation energy without anion corrections = -12.19 kcal/mol of atoms
Offset from the most stable computed form = 45 meV per atom

Cell: 3.660 3.660 8.400 Å, 90.00 90.00 90.00°
Element x y z (fractional)
1 In 0.500 0.500 0.000
2 Tb 0.000 0.000 0.764
3 Tb 0.000 0.000 0.236
4 I 0.500 0.500 0.500

7.
# CsMn3I

CsMn3I after structural relaxation (GGA-PBE, Alexandria via LeMat-Bulk).

Properties
Mass density = 4.56 Mg/m³
Space-group type = Pm-3m, No. 221
Formation energy without anion corrections = 31.58 kcal/mol of atoms
Offset from the most stable computed form = 0 meV per atom

Cell: 5.367 5.367 5.367 Å, 90.00 90.00 90.00°
Last column: magnetic moment on the atom in μB.
Element x y z (fractional)
1 I 0.000 0.000 0.000  -0.05
2 Mn 0.500 0.000 0.000  3.73
3 Mn 0.000 0.500 0.000  3.73
4 Mn 0.000 0.000 0.500  3.73
5 Cs 0.500 0.500 0.500  -0.04

8.
# LiPb2F8

LiPb2F8 after structural relaxation (GGA-PBE, Alexandria via LeMat-Bulk).

Properties
Mass density = 6.01 Mg/m³
Space-group type = C2/m, No. 12
Formation energy without anion corrections = -49.05 kcal/mol of atoms
Offset from the most stable computed form = 0 meV per atom

Cell: 5.059 5.795 5.795 Å, 75.16 102.13 102.13°
Element x y z (fractional)
1 F 0.758 0.565 0.565
2 Li 0.000 0.000 0.000
3 F 0.711 0.051 0.662
4 F 0.192 0.846 0.846
5 F 0.289 0.949 0.338
6 F 0.289 0.338 0.949
7 F 0.242 0.435 0.435
8 Pb 0.577 0.312 0.312
9 F 0.808 0.154 0.154
10 F 0.711 0.662 0.051
11 Pb 0.423 0.688 0.688

9.
# Ca2Nb2Ni

Ca2Nb2Ni after structural relaxation (GGA-PBE, Alexandria via LeMat-Bulk).

Properties
Mass density = 4.29 Mg/m³
ΔH_f (0 K) = 507.9 meV/atom
Space-group type = I4/mmm, No. 139
Offset from the most stable computed form = 0 meV per atom

Cell: 3.642 3.642 9.815 Å, 79.31 79.31 90.00°
Element x y z (fractional)
1 Nb 0.750 0.250 0.500
2 Ca 0.588 0.588 0.823
3 Ca 0.412 0.412 0.177
4 Nb 0.250 0.750 0.500
5 Ni 0.000 0.000 0.000

10.
# ScCrTeN2

ScCrTeN2 after structural relaxation (GGA-PBE, Alexandria via LeMat-Bulk).

Properties
Mass density = 5.32 Mg/m³
Space-group type = P4/mmm, No. 123
Formation energy without anion corrections = 3.94 kcal/mol of atoms
Offset from the most stable computed form = 0 meV per atom

Cell: 3.855 3.855 5.305 Å, 90.00 90.00 90.00°
Last column: magnetic moment on the atom in μB.
Element x y z (fractional)
1 Cr 0.000 0.000 0.000  1.05
2 N 0.500 0.000 0.000  -0.29
3 Te 0.000 0.000 0.500  -0.03
4 Sc 0.500 0.500 0.500  0.03
5 N 0.000 0.500 0.000  -0.29

11.
# GeHS2

GeHS2 after structural relaxation (GGA-PBE, Alexandria via LeMat-Bulk).

Properties
Mass density = 4.11 Mg/m³
Space-group type = R-3m, No. 166
Offset from the most stable computed form = 849 meV per atom

Cell: 7.968 7.968 7.968 Å, 20.75 20.75 20.75°
Element x y z (fractional)
1 S 0.891 0.891 0.891
2 Ge 0.000 0.000 0.000
3 S 0.109 0.109 0.109
4 H 0.500 0.500 0.500

12.
# GaCu2F

GaCu2F after structural relaxation (GGA-PBE, Alexandria via LeMat-Bulk).

Properties
Mass density = 6.80 Mg/m³
Space-group type = Fm-3m, No. 225
Formation energy without anion corrections = -5.36 kcal/mol of atoms
Offset from the most stable computed form = 169 meV per atom

Cell: 4.208 4.208 4.208 Å, 60.00 60.00 60.00°
Element x y z (fractional)
1 Cu 0.250 0.250 0.250
2 Ga 0.500 0.500 0.500
3 F 0.000 0.000 0.000
4 Cu 0.750 0.750 0.750

13.
# FeHW

FeHW after structural relaxation (GGA-PBE, Alexandria via LeMat-Bulk).

Properties
Mass density = 13.82 Mg/m³
Space-group type = P2_1/m, No. 11
Offset from the most stable computed form = 195 meV per atom

Cell: 4.933 5.104 5.103 Å, 78.95 72.10 72.10°
Element x y z (fractional)
1 H 0.882 0.530 0.280
2 W 0.776 0.806 0.556
3 H 0.118 0.470 0.720
4 Fe 0.323 0.169 0.919
5 H 0.882 0.030 0.780
6 W 0.224 0.694 0.944
7 H 0.118 0.970 0.220
8 Fe 0.323 0.669 0.419
9 Fe 0.677 0.331 0.581
10 W 0.776 0.306 0.056
11 Fe 0.677 0.831 0.081
12 W 0.224 0.194 0.444

14.
# Na2FePt

Na2FePt after structural relaxation (GGA-PBE, Alexandria via LeMat-Bulk).

Properties
Mass density = 5.92 Mg/m³
ΔH_f (0 K) = 557.9 meV/atom
Space-group type = I-42d, No. 122
Offset from the most stable computed form = 0 meV per atom

Cell: 8.082 8.082 6.258 Å, 49.78 49.78 90.00°
Last column: magnetic moment on the atom in μB.
Element x y z (fractional)
1 Na 0.107 0.625 0.250  -0.01
2 Fe 0.500 0.500 0.000  3.17
3 Na 0.643 0.125 0.250  -0.01
4 Fe 0.250 0.750 0.500  3.17
5 Pt 0.000 0.000 0.000  0.27
6 Pt 0.750 0.250 0.500  0.27
7 Na 0.875 0.893 0.750  -0.01
8 Na 0.375 0.357 0.750  -0.01

15.
# CsCd2Br5

CsCd2Br5 after structural relaxation (GGA-PBE, Alexandria via LeMat-Bulk).

Properties
Mass density = 4.55 Mg/m³
Space-group type = Cmcm, No. 63
Formation energy without anion corrections = -24.58 kcal/mol of atoms

Cell: 6.062 7.114 14.176 Å, 90.00 90.00 115.22°
Element x y z (fractional)
1 Cs 0.505 0.009 0.750
2 Cd 0.148 0.295 0.557
3 Cd 0.148 0.295 0.943
4 Cs 0.495 0.991 0.250
5 Br 0.950 0.900 0.620
6 Br 0.950 0.900 0.880
7 Br 0.662 0.325 0.526
8 Br 0.338 0.675 0.026
9 Cd 0.852 0.705 0.443
10 Br 0.784 0.568 0.250
11 Cd 0.852 0.705 0.057
12 Br 0.662 0.325 0.974
13 Br 0.216 0.432 0.750
14 Br 0.338 0.675 0.474
15 Br 0.050 0.100 0.380
16 Br 0.050 0.100 0.120

16.
# AcSiNiIr6

AcSiNiIr6 after structural relaxation (GGA-PBE, Alexandria via LeMat-Bulk).

Properties
Mass density = 14.69 Mg/m³
Space-group type = Imma, No. 74
Formation energy without anion corrections = 6.38 kcal/mol of atoms

Cell: 6.012 9.290 8.117 Å, 124.91 111.73 90.00°
Last column: magnetic moment on the atom in μB.
Element x y z (fractional)
1 Ir 0.901 0.663 0.274  0.02
2 Ac 0.169 0.419 0.338  0.00
3 Ir 0.099 0.889 0.726  0.02
4 Ir 0.910 0.160 0.820  0.02
5 Ir 0.372 0.111 0.274  0.02
6 Si 0.500 0.500 0.000  0.00
7 Ni 0.000 0.000 0.500  0.28
8 Si 0.500 0.000 0.000  0.00
9 Ir 0.423 0.673 0.846  0.01
10 Ir 0.099 0.337 0.726  0.02
11 Ac 0.831 0.581 0.662  0.00
12 Ni 0.500 0.000 0.500  0.28
13 Ir 0.628 0.337 0.726  0.02
14 Ir 0.901 0.111 0.274  0.02
15 Ir 0.577 0.327 0.154  0.01
16 Ir 0.372 0.663 0.274  0.02
17 Ir 0.090 0.840 0.180  0.02
18 Ir 0.628 0.889 0.726  0.02

17.
# Eu2ThH

Eu2ThH after structural relaxation (GGA-PBE, Alexandria via LeMat-Bulk).

Properties
Mass density = 8.21 Mg/m³
Space-group type = R-3m, No. 166
Energy = -7.802 eV/atom

Cell: 3.538 3.538 10.224 Å, 80.04 80.04 60.00°
Last column: magnetic moment on the atom in μB.
Element x y z (fractional)
1 Th 0.000 0.000 0.000  0.00
2 Eu 0.117 0.117 0.649  7.10
3 Eu 0.883 0.883 0.351  7.10
4 H 0.500 0.500 0.500  -0.03

18.
# Tb8GaTe4P3

Tb8GaTe4P3 after structural relaxation (GGA-PBE, Alexandria via LeMat-Bulk).

Properties
Mass density = 7.57 Mg/m³
Space-group type = R-3m, No. 166
Formation energy without anion corrections = -32.54 kcal/mol of atoms

Cell: 8.346 8.559 8.347 Å, 119.18 120.00 90.00°
Element x y z (fractional)
1 Tb 0.263 0.282 0.023
2 Tb 0.737 0.711 0.474
3 Te 0.000 0.000 0.500
4 Te 0.500 0.000 0.000
5 Tb 0.263 0.289 0.526
6 Tb 0.737 0.718 0.977
7 P 0.500 0.500 0.500
8 Tb 0.760 0.283 0.520
9 P 0.500 0.500 0.000
10 Te 0.000 0.000 0.000
11 Tb 0.240 0.718 0.977
12 P 0.000 0.500 0.500
13 Ga 0.000 0.500 0.000
14 Tb 0.760 0.282 0.023
15 Te 0.500 0.000 0.500
16 Tb 0.240 0.717 0.480

19.
# AcHoCdHg

AcHoCdHg after structural relaxation (GGA-PBE, Alexandria via LeMat-Bulk).

Properties
Mass density = 9.98 Mg/m³
ΔH_f (0 K) = -373.2 meV/atom
Space-group type = P4mm, No. 99
Offset from the most stable computed form = 0 meV per atom

Cell: 3.832 3.832 7.993 Å, 90.00 90.00 90.00°
Last column: magnetic moment on the atom in μB.
Element x y z (fractional)
1 Cd 0.000 0.000 0.391  0.00
2 Ho 0.500 0.500 0.613  0.03
3 Ac 0.500 0.500 0.106  0.07
4 Hg 0.000 0.000 0.818  0.00

20.
# Cs2BPdI6

Cs2BPdI6 after structural relaxation (GGA-PBE, Alexandria via LeMat-Bulk).

Properties
Mass density = 4.58 Mg/m³
Space-group type = I4/mmm, No. 139
Formation energy without anion corrections = -10.50 kcal/mol of atoms

Cell: 8.902 8.902 8.187 Å, 57.07 57.07 90.00°
Last column: magnetic moment on the atom in μB.
Element x y z (fractional)
1 Cs 0.750 0.250 0.500  0.00
2 I 0.698 0.698 0.605  0.03
3 Cs 0.250 0.750 0.500  0.00
4 B 0.500 0.500 0.000  0.10
5 I 0.219 0.219 0.000  0.05
6 Pd 0.000 0.000 0.000  0.33
7 I 0.781 0.781 0.000  0.05
8 I 0.302 0.302 0.395  0.03
9 I 0.219 0.781 0.000  0.05
10 I 0.781 0.219 0.000  0.05

21.
# LaPb2W

LaPb2W after structural relaxation (GGA-PBE, Alexandria via LeMat-Bulk).

Properties
Mass density = 12.02 Mg/m³
ΔH_f (0 K) = 519.1 meV/atom
Space-group type = Cmmm, No. 65
Offset from the most stable computed form = 145 meV per atom

Cell: 3.292 3.292 10.085 Å, 90.00 90.00 111.31°
Element x y z (fractional)
1 W 0.500 0.500 0.250
2 Pb 0.000 0.000 0.032
3 La 0.500 0.500 0.750
4 Pb 0.000 0.000 0.468

22.
# Ba2MnRh

Ba2MnRh after structural relaxation (GGA-PBE, Alexandria via LeMat-Bulk).

Properties
Mass density = 5.97 Mg/m³
ΔH_f (0 K) = 410.2 meV/atom
Space-group type = Cmmm, No. 65
Offset from the most stable computed form = 421 meV per atom

Cell: 5.342 5.342 4.213 Å, 90.00 90.00 89.94°
Last column: magnetic moment on the atom in μB.
Element x y z (fractional)
1 Mn 0.500 0.000 0.500  4.02
2 Rh 0.000 0.500 0.500  0.32
3 Ba 0.500 0.500 0.000  -0.05
4 Ba 0.000 0.000 0.000  -0.05

23.
# Tb2Ho8Tl

Tb2Ho8Tl after structural relaxation (GGA-PBE, Alexandria via LeMat-Bulk).

Properties
Mass density = 8.99 Mg/m³
ΔH_f (0 K) = -28.0 meV/atom
Space-group type = C2/m, No. 12
Offset from the most stable computed form = 0 meV per atom

Cell: 5.526 6.398 10.047 Å, 84.92 105.96 90.00°
Element x y z (fractional)
1 Ho 0.579 0.402 0.157
2 Ho 0.338 0.123 0.677
3 Tb 0.756 0.334 0.513
4 Ho 0.421 0.598 0.843
5 Ho 0.662 0.877 0.323
6 Ho 0.955 0.269 0.911
7 Tb 0.244 0.666 0.487
8 Tl 0.500 0.000 0.000
9 Ho 0.154 0.196 0.308
10 Ho 0.045 0.731 0.089
11 Ho 0.846 0.804 0.692

24.
# Tc2PtSe

Tc2PtSe after structural relaxation (GGA-PBE, Alexandria via LeMat-Bulk).

Properties
Mass density = 12.40 Mg/m³
Space-group type = Pmmm, No. 47
Formation energy without anion corrections = 10.55 kcal/mol of atoms

Cell: 2.884 4.622 4.720 Å, 90.00 90.00 90.00°
Last column: magnetic moment on the atom in μB.
Element x y z (fractional)
1 Tc 0.000 0.000 0.000  -0.31
2 Tc 0.500 0.500 0.000  0.56
3 Pt 0.500 0.000 0.500  0.01
4 Se 0.000 0.500 0.500  0.00

25.
# ScTcCl2

ScTcCl2 after structural relaxation (GGA-PBE, Alexandria via LeMat-Bulk).

Properties
Mass density = 4.05 Mg/m³
Space-group type = R3m, No. 160
Formation energy without anion corrections = -16.27 kcal/mol of atoms
Offset from the most stable computed form = 0 meV per atom

Cell: 9.379 9.379 9.379 Å, 20.38 20.38 20.38°
Last column: magnetic moment on the atom in μB.
Element x y z (fractional)
1 Tc 0.753 0.753 0.753  0.77
2 Sc 0.495 0.495 0.495  -0.01
3 Cl 0.028 0.028 0.028  0.12
4 Cl 0.224 0.224 0.224  0.00

26.
# NbCuP

NbCuP after structural relaxation (GGA-PBE, Alexandria via LeMat-Bulk).

Properties
Mass density = 7.42 Mg/m³
ΔH_f (0 K) = -485.5 meV/atom
Space-group type = P4/nmm, No. 129

Cell: 3.520 3.520 6.768 Å, 90.00 90.00 90.00°
Element x y z (fractional)
1 Nb 0.000 0.500 0.856
2 Cu 0.000 0.000 0.500
3 Cu 0.500 0.500 0.500
4 P 0.000 0.500 0.240
5 Nb 0.500 0.000 0.144
6 P 0.500 0.000 0.760